No. 1
Nd2Y6Er2Tm | PBE-GGA | relaxed

Structure (POSCAR):
```
Nd2Y6Er2Tm
1.0
6.607 -0.623 -0.485
-3.808 5.436 -0.485
-1.877 -3.226 11.465
Nd Y Er Tm
2 6 2 1
Direct
0.865 0.135 0.000
0.135 0.865 0.000
0.703 0.703 0.703
0.133 0.441 0.787
0.297 0.297 0.297
0.441 0.133 0.787
0.867 0.559 0.213
0.559 0.867 0.213
0.296 0.704 0.500
0.704 0.296 0.500
0.000 0.000 0.500
```

Properties
Space-group type ... Cmmm (65)
Formation energy from the elements ... 0.14 eV/atom
Total DFT energy (no corrections) ... -5.4846 eV per atom
DOS(E_F) ... 1.725 states/eV per atom



No. 2
NdYErTm3 | PBE-GGA | relaxed

Structure (POSCAR):
```
NdYErTm3
1.0
5.004 0.000 0.000
-2.502 7.503 0.000
0.000 0.000 10.010
Nd Y Er Tm
2 2 2 6
Direct
0.501 0.002 0.750
0.499 0.998 0.250
0.832 0.664 0.750
0.168 0.336 0.250
0.000 0.000 0.500
0.000 0.000 0.000
0.667 0.335 0.500
0.333 0.665 0.500
0.333 0.665 0.000
0.667 0.335 0.000
0.167 0.335 0.750
0.833 0.665 0.250
```

Properties
Space-group type ... Cmcm (63)
Formation energy from the elements ... 0.03 eV/atom
Total DFT energy (no corrections) ... -4.8410 eV per atom
DOS(E_F) ... 1.400 states/eV per atom



No. 3
Nd3Y6ErTm2 | PBE-GGA | relaxed

Structure (POSCAR):
```
Nd3Y6ErTm2
1.0
-1.073 -6.059 -0.800
1.930 3.463 -4.774
10.791 -1.467 4.641
Nd Y Er Tm
3 6 1 2
Direct
0.167 0.833 0.500
0.833 0.167 0.500
0.500 0.500 0.500
0.918 0.585 0.755
0.748 0.748 0.245
0.082 0.415 0.245
0.585 0.918 0.755
0.252 0.252 0.755
0.415 0.082 0.245
0.000 0.000 0.000
0.333 0.667 0.000
0.667 0.333 0.000
```

Properties
Space-group type ... C2/m (12)
Formation energy from the elements ... 0.02 eV/atom
Total DFT energy (no corrections) ... -5.5272 eV per atom
DOS(E_F) ... 1.471 states/eV per atom



No. 4
NdYErTm | PBE-GGA | relaxed

Structure (POSCAR):
```
NdYErTm
1.0
-3.862 -2.887 3.005
-4.403 -2.442 -2.633
-0.276 -5.659 -0.420
Y Tm Nd Er
1 1 1 1
Direct
0.750 0.750 0.750
0.000 0.000 0.000
0.250 0.250 0.250
0.500 0.500 0.500
```

Properties
Space-group type ... F-43m (216)
Formation energy from the elements ... 0.12 eV/atom
Total DFT energy (no corrections) ... -4.9502 eV per atom
DOS(E_F) ... 1.757 states/eV per atom



No. 5
Nd4Y2ErTm2 | PBE-GGA | relaxed

Structure (POSCAR):
```
Nd4Y2ErTm2
1.0
-3.807 2.055 2.671
-2.249 -7.346 -2.393
4.268 -0.868 6.750
Nd Y Er Tm
4 2 1 2
Direct
0.778 0.556 0.670
0.222 0.444 0.330
0.554 0.109 0.329
0.446 0.891 0.671
0.888 0.776 0.330
0.112 0.224 0.670
0.000 0.000 0.000
0.333 0.666 0.000
0.667 0.334 0.000
```

Properties
Space-group type ... C2/m (12)
Formation energy from the elements ... 0.02 eV/atom
Total DFT energy (no corrections) ... -5.0325 eV per atom
DOS(E_F) ... 1.527 states/eV per atom



No. 6
NdY3Er6Tm2 | PBE-GGA | relaxed

Structure (POSCAR):
```
NdY3Er6Tm2
1.0
-1.305 1.989 5.634
-2.182 -5.381 -1.920
10.596 -4.145 2.812
Nd Y Er Tm
1 3 6 2
Direct
0.000 0.000 0.000
0.167 0.833 0.500
0.833 0.167 0.500
0.500 0.500 0.500
0.916 0.582 0.751
0.749 0.749 0.249
0.084 0.418 0.249
0.582 0.916 0.751
0.251 0.251 0.751
0.418 0.084 0.249
0.333 0.667 0.000
0.667 0.333 0.000
```

Properties
Space-group type ... C2/m (12)
Formation energy from the elements ... 0.02 eV/atom
Total DFT energy (no corrections) ... -5.0156 eV per atom
DOS(E_F) ... 1.396 states/eV per atom



No. 7
NdY2ErTm5 | PBE-GGA | relaxed

Structure (POSCAR):
```
NdY2ErTm5
1.0
-2.441 -4.770 1.535
9.914 -2.101 -0.880
1.434 2.525 10.126
Nd Y Er Tm
2 4 2 10
Direct
0.583 0.166 0.955
0.417 0.834 0.455
0.887 0.775 0.819
0.111 0.221 0.734
0.113 0.225 0.319
0.889 0.779 0.234
0.799 0.597 0.512
0.201 0.403 0.012
0.388 0.777 0.021
0.717 0.435 0.811
0.479 0.959 0.736
0.298 0.597 0.710
0.981 0.961 0.526
0.612 0.223 0.521
0.283 0.565 0.311
0.521 0.041 0.236
0.702 0.403 0.210
0.019 0.039 0.026
```

Properties
Space-group type ... Cmc2_1 (36)
Formation energy from the elements ... 0.16 eV/atom
Total DFT energy (no corrections) ... -4.7964 eV per atom
DOS(E_F) ... 1.616 states/eV per atom



No. 8
Nd2Y6ErTm | PBE-GGA | relaxed

Structure (POSCAR):
```
Nd2Y6ErTm
1.0
9.272 -2.115 -2.195
0.669 8.524 -1.985
0.669 -2.299 8.445
Nd Y Er Tm
4 12 2 2
Direct
0.455 0.806 0.705
0.045 0.295 0.194
0.545 0.194 0.295
0.955 0.705 0.806
0.057 0.124 0.747
0.443 0.253 0.876
0.943 0.876 0.253
0.557 0.747 0.124
0.313 0.982 0.424
0.187 0.576 0.018
0.687 0.018 0.576
0.813 0.424 0.982
0.118 0.706 0.498
0.382 0.502 0.294
0.882 0.294 0.502
0.618 0.498 0.706
0.250 0.982 0.018
0.750 0.018 0.982
0.250 0.406 0.594
0.750 0.594 0.406
```

Properties
Space-group type ... C2/c (15)
Formation energy from the elements ... 0.11 eV/atom
Total DFT energy (no corrections) ... -5.6234 eV per atom
DOS(E_F) ... 1.409 states/eV per atom



No. 9
Nd3YEr2Tm6 | PBE-GGA | relaxed

Structure (POSCAR):
```
Nd3YEr2Tm6
1.0
-4.048 -2.812 -3.683
0.502 -1.710 5.889
-6.850 9.228 2.193
Nd Y Er Tm
3 1 2 6
Direct
0.167 0.833 0.500
0.833 0.167 0.500
0.500 0.500 0.500
0.000 0.000 0.000
0.333 0.667 0.000
0.667 0.333 0.000
0.918 0.583 0.754
0.748 0.748 0.246
0.082 0.417 0.246
0.583 0.918 0.754
0.252 0.252 0.754
0.417 0.082 0.246
```

Properties
Space-group type ... C2/m (12)
Formation energy from the elements ... 0.03 eV/atom
Total DFT energy (no corrections) ... -4.7013 eV per atom
DOS(E_F) ... 1.382 states/eV per atom



No. 10
Nd6YEr2Tm3 | PBE-GGA | relaxed

Structure (POSCAR):
```
Nd6YEr2Tm3
1.0
-2.623 -0.926 5.594
-1.665 -3.559 -4.857
9.791 -6.070 2.427
Nd Y Er Tm
6 1 2 3
Direct
0.916 0.582 0.749
0.750 0.750 0.251
0.084 0.418 0.251
0.582 0.916 0.749
0.250 0.250 0.749
0.418 0.084 0.251
0.000 0.000 0.000
0.333 0.667 0.000
0.667 0.333 0.000
0.167 0.833 0.500
0.833 0.167 0.500
0.500 0.500 0.500
```

Properties
Space-group type ... C2/m (12)
Formation energy from the elements ... 0.01 eV/atom
Total DFT energy (no corrections) ... -4.7872 eV per atom
DOS(E_F) ... 1.041 states/eV per atom



No. 11
Nd5YErTm2 | PBE-GGA | relaxed

Structure (POSCAR):
```
Nd5YErTm2
1.0
-3.929 3.837 1.259
-0.095 -6.861 8.005
7.391 5.883 5.130
Nd Y Er Tm
10 2 2 4
Direct
0.385 0.771 0.020
0.719 0.439 0.812
0.484 0.967 0.743
0.298 0.597 0.708
0.984 0.968 0.517
0.615 0.229 0.520
0.281 0.561 0.312
0.516 0.033 0.243
0.702 0.403 0.208
0.016 0.032 0.017
0.801 0.602 0.511
0.199 0.398 0.012
0.591 0.183 0.963
0.409 0.817 0.463
0.886 0.772 0.808
0.112 0.224 0.740
0.114 0.228 0.308
0.888 0.776 0.240
```

Properties
Space-group type ... Cmc2_1 (36)
Formation energy from the elements ... 0.14 eV/atom
Total DFT energy (no corrections) ... -4.7234 eV per atom
DOS(E_F) ... 1.579 states/eV per atom



No. 12
Nd3Y2ErTm6 | PBE-GGA | relaxed

Structure (POSCAR):
```
Nd3Y2ErTm6
1.0
6.162 0.001 -0.003
-3.078 5.338 -0.003
-1.019 -1.764 11.538
Nd Y Er Tm
3 2 1 6
Direct
0.167 0.833 0.500
0.833 0.167 0.500
0.500 0.500 0.500
0.333 0.667 0.000
0.667 0.333 0.000
0.000 0.000 0.000
0.918 0.585 0.753
0.750 0.750 0.247
0.082 0.415 0.247
0.585 0.918 0.753
0.250 0.250 0.753
0.415 0.082 0.247
```

Properties
Space-group type ... C2/m (12)
Formation energy from the elements ... 0.03 eV/atom
Total DFT energy (no corrections) ... -4.8598 eV per atom
DOS(E_F) ... 1.391 states/eV per atom



No. 13
Nd2Y3ErTm6 | PBE-GGA | relaxed

Structure (POSCAR):
```
Nd2Y3ErTm6
1.0
-1.716 0.446 5.876
-1.560 -4.948 -3.281
10.848 -3.733 2.384
Nd Y Er Tm
2 3 1 6
Direct
0.333 0.667 0.000
0.667 0.333 0.000
0.166 0.834 0.500
0.834 0.166 0.500
0.500 0.500 0.500
0.000 0.000 0.000
0.916 0.583 0.749
0.752 0.752 0.251
0.084 0.417 0.251
0.583 0.916 0.749
0.248 0.248 0.749
0.417 0.084 0.251
```

Properties
Space-group type ... C2/m (12)
Formation energy from the elements ... 0.03 eV/atom
Total DFT energy (no corrections) ... -5.0013 eV per atom
DOS(E_F) ... 1.405 states/eV per atom



No. 14
NdY2Er3Tm6 | PBE-GGA | relaxed

Structure (POSCAR):
```
NdY2Er3Tm6
1.0
-1.656 5.772 -1.056
-0.729 -4.218 -4.342
-9.737 -2.806 5.788
Nd Y Er Tm
1 2 3 6
Direct
0.000 0.000 0.000
0.333 0.667 0.000
0.667 0.333 0.000
0.167 0.833 0.500
0.833 0.167 0.500
0.500 0.500 0.500
0.915 0.582 0.747
0.752 0.752 0.253
0.085 0.418 0.253
0.582 0.915 0.747
0.248 0.248 0.747
0.418 0.085 0.253
```

Properties
Space-group type ... C2/m (12)
Formation energy from the elements ... 0.03 eV/atom
Total DFT energy (no corrections) ... -4.8247 eV per atom
DOS(E_F) ... 1.411 states/eV per atom



No. 15
NdY2Er2Tm2 | PBE-GGA | relaxed

Structure (POSCAR):
```
NdY2Er2Tm2
1.0
3.491 0.000 0.000
-1.746 8.958 -0.999
0.000 -3.183 7.641
Nd Y Er Tm
1 2 2 2
Direct
0.000 0.000 0.500
0.649 0.298 0.910
0.351 0.702 0.090
0.790 0.579 0.379
0.210 0.421 0.621
0.428 0.856 0.768
0.572 0.144 0.232
```

Properties
Space-group type ... C2/m (12)
Formation energy from the elements ... 0.15 eV/atom
Total DFT energy (no corrections) ... -4.9595 eV per atom
DOS(E_F) ... 1.628 states/eV per atom



No. 16
NdY2ErTm2 | PBE-GGA | relaxed

Structure (POSCAR):
```
NdY2ErTm2
1.0
3.414 0.000 0.000
0.000 6.458 0.000
0.000 0.000 17.826
Nd Y Er Tm
2 4 2 4
Direct
0.000 0.000 0.000
0.500 0.500 0.500
0.500 0.718 0.311
0.500 0.282 0.689
0.000 0.782 0.811
0.000 0.218 0.189
0.500 0.500 0.000
0.000 0.000 0.500
0.500 0.216 0.354
0.000 0.716 0.146
0.500 0.784 0.646
0.000 0.284 0.854
```

Properties
Space-group type ... Pnnm (58)
Formation energy from the elements ... 0.27 eV/atom
Total DFT energy (no corrections) ... -4.9285 eV per atom
DOS(E_F) ... 1.689 states/eV per atom



No. 17
NdY4Er2Tm2 | PBE-GGA | relaxed

Structure (POSCAR):
```
NdY4Er2Tm2
1.0
-2.185 2.507 -1.333
-4.454 -7.899 -2.742
-2.010 2.940 8.825
Nd Y Er Tm
1 4 2 2
Direct
0.000 0.000 0.000
0.814 0.628 0.666
0.186 0.372 0.334
0.519 0.038 0.336
0.481 0.962 0.664
0.851 0.703 0.332
0.149 0.297 0.668
0.332 0.663 0.001
0.668 0.337 0.999
```

Properties
Space-group type ... C2/m (12)
Formation energy from the elements ... 0.00 eV/atom
Total DFT energy (no corrections) ... -5.4081 eV per atom
DOS(E_F) ... 1.438 states/eV per atom



No. 18
Nd3YEr6Tm2 | PBE-GGA | relaxed

Structure (POSCAR):
```
Nd3YEr6Tm2
1.0
6.161 0.001 -0.004
-3.078 5.337 -0.004
-1.017 -1.761 11.564
Nd Y Er Tm
3 1 6 2
Direct
0.167 0.833 0.500
0.833 0.167 0.500
0.500 0.500 0.500
0.000 0.000 0.000
0.918 0.584 0.754
0.748 0.748 0.246
0.082 0.416 0.246
0.584 0.918 0.754
0.252 0.252 0.754
0.416 0.082 0.246
0.333 0.667 0.000
0.667 0.333 0.000
```

Properties
Space-group type ... C2/m (12)
Formation energy from the elements ... 0.02 eV/atom
Total DFT energy (no corrections) ... -4.7334 eV per atom
DOS(E_F) ... 1.396 states/eV per atom



No. 19
NdY2Er6Tm | PBE-GGA | relaxed

Structure (POSCAR):
```
NdY2Er6Tm
1.0
8.982 -1.937 -2.010
0.894 8.475 -1.975
0.894 -2.288 8.396
Nd Y Er Tm
2 4 12 2
Direct
0.250 0.972 0.028
0.750 0.028 0.972
0.452 0.799 0.695
0.048 0.305 0.201
0.548 0.201 0.305
0.952 0.695 0.799
0.058 0.125 0.753
0.442 0.247 0.875
0.942 0.875 0.247
0.558 0.753 0.125
0.316 0.985 0.436
0.184 0.564 0.015
0.684 0.015 0.564
0.816 0.436 0.985
0.116 0.709 0.486
0.384 0.514 0.291
0.884 0.291 0.514
0.616 0.486 0.709
0.250 0.410 0.590
0.750 0.590 0.410
```

Properties
Space-group type ... C2/c (15)
Formation energy from the elements ... 0.13 eV/atom
Total DFT energy (no corrections) ... -4.8283 eV per atom
DOS(E_F) ... 1.491 states/eV per atom



No. 20
NdYEr2Tm | PBE-GGA | relaxed

Structure (POSCAR):
```
NdYEr2Tm
1.0
7.200 0.000 0.000
0.000 8.366 0.000
0.000 -4.183 5.713
Nd Y Er Tm
2 2 4 2
Direct
0.250 0.728 0.456
0.750 0.272 0.544
0.250 0.002 0.004
0.750 0.998 0.996
0.500 0.311 0.000
0.000 0.689 0.000
0.500 0.689 0.000
0.000 0.311 0.000
0.750 0.718 0.436
0.250 0.282 0.564
```

Properties
Space-group type ... Cmcm (63)
Formation energy from the elements ... 0.40 eV/atom
Total DFT energy (no corrections) ... -4.5699 eV per atom
DOS(E_F) ... 1.405 states/eV per atom